{
  "formula": "LaSbPb2",
  "functional": "PBE",
  "state": "relaxed",
  "space_group": "No. 99",
  "energy_ev_per_cell": -18.27,
  "lattice": [[4.326, 0.000, 0.000], [0.000, 4.326, 0.000], [0.000, 0.000, 6.696]],
  "species": ["La", "Sb", "Pb", "Pb"],
  "fractional_positions": [[0.000, 0.000, 0.000], [0.500, 0.500, 0.798], [0.000, 0.000, 0.510], [0.500, 0.500, 0.286]]
}